1.
## BaVAs3 (GGA-PBE)

Data for a geometry-optimized BaVAs3 structure.

The structure in extended XYZ format:
```
5
Lattice="5.642 0.000 0.000 0.000 5.642 0.000 0.000 0.000 5.642" Properties=species:S:1:pos:R:3 pbc="T T T"
Ba 0.000 0.000 0.000
V 2.821 2.821 2.821
As 0.000 0.000 2.821
As 0.000 2.821 0.000
As 2.821 0.000 0.000
```

Calculated values
Space group   Pm-3m (221)
Calculated density   3.82 g/cm³
Energy above the lowest structure with this stoichiometry   2.013 eV per atom
Density of states at the Fermi level   5.68 states/eV/f.u.
Total magnetization   2.5 μB per cell
Raw total energy   -17.39 eV/f.u.
ΔE_f   1520.8 meV/atom

***

2.
## AgOsRu (GGA-PBE)

Data for a geometry-optimized AgOsRu structure.

The structure in extended XYZ format:
```
3
Lattice="-1.394 1.394 5.971 1.394 -1.394 5.971 1.394 1.394 -5.971" Properties=species:S:1:pos:R:3 pbc="T T T"
Ag 0.000 0.000 0.000
Os 0.000 0.000 8.134
Ru 0.000 0.000 3.803
```

Calculated values
Space group   I4mm (107)
Calculated density   14.28 g/cm³
Energy above the lowest structure with this stoichiometry   0.064 eV per atom
Density of states at the Fermi level   2.65 states/eV/f.u.
Total magnetization   0.0 μB per cell
Raw total energy   -22.16 eV/f.u.
ΔE_f   398.2 meV/atom

***

3.
## La2SiMo (GGA-PBE)

Data for a geometry-optimized La2SiMo structure.

The structure in extended XYZ format:
```
8
Lattice="-4.130 4.130 2.896 4.130 -4.130 2.896 4.130 4.130 -2.896" Properties=species:S:1:pos:R:3 pbc="T T T"
La 6.195 1.642 -0.724
La 1.642 2.065 0.724
La -2.065 2.488 2.172
La 2.488 2.065 3.620
Si 4.130 0.000 1.448
Si 0.000 0.000 2.896
Mo 0.000 0.000 0.000
Mo 0.000 4.130 1.448
```

Calculated values
Space group   I-42d (122)
Calculated density   6.75 g/cm³
Density of states at the Fermi level   5.01 states/eV/f.u.
ΔE_f (raw)   428 meV/atom
Total magnetization   0.0 μB per cell
Raw total energy   -24.40 eV/f.u.

***

4.
## Al2Tl2Zn (GGA-PBE)

Data for a geometry-optimized Al2Tl2Zn structure.

The structure in extended XYZ format:
```
10
Lattice="8.574 0.000 0.000 0.000 8.574 0.000 0.000 0.000 3.318" Properties=species:S:1:pos:R:3 pbc="T T T"
Al 0.967 3.320 0.000
Al 3.320 7.607 0.000
Al 5.253 0.967 0.000
Al 7.607 5.253 0.000
Tl 1.592 5.878 1.659
Tl 2.695 1.592 1.659
Tl 5.878 6.982 1.659
Tl 6.982 2.695 1.659
Zn 0.000 0.000 1.659
Zn 4.287 4.287 1.659
```

Calculated values
Space group   P4/mbm (127)
Calculated density   7.19 g/cm³
Energy above the lowest structure with this stoichiometry   0.175 eV per atom
Density of states at the Fermi level   2.22 states/eV/f.u.
Total magnetization   0.0 μB per cell
Raw total energy   -11.63 eV/f.u.
ΔE_f   372.8 meV/atom

***

5.
## ZrPaGa2 (GGA-PBE)

Data for a geometry-optimized ZrPaGa2 structure.

The structure in extended XYZ format:
```
4
Lattice="4.457 0.000 0.000 0.000 4.457 0.000 0.000 0.000 4.193" Properties=species:S:1:pos:R:3 pbc="T T T"
Zr 0.000 0.000 0.000
Pa 2.228 2.228 0.000
Ga 0.000 2.228 2.097
Ga 2.228 0.000 2.097
```

Calculated values
Space group   P4/mmm (123)
Calculated density   9.20 g/cm³
Energy above the lowest structure with this stoichiometry   0.108 eV per atom
Density of states at the Fermi level   4.73 states/eV/f.u.
Total magnetization   0.0 μB per cell
Raw total energy   -25.20 eV/f.u.
ΔE_f   -276.2 meV/atom

***

6.
## K3SnGe2Br9 (GGA-PBE)

Data for a geometry-optimized K3SnGe2Br9 structure.

The structure in extended XYZ format:
```
15
Lattice="7.912 0.000 0.000 -3.956 6.852 0.000 0.000 0.000 9.995" Properties=species:S:1:pos:R:3 pbc="T T T"
K 0.000 0.000 0.000
K 0.000 4.568 7.301
K 3.956 2.284 2.694
Sn 0.000 0.000 4.997
Ge 0.000 4.568 1.675
Ge 3.956 2.284 8.320
Br -1.978 3.426 0.000
Br 0.000 2.299 3.194
Br -1.965 5.702 3.194
Br 1.991 1.150 6.801
Br 3.956 0.000 0.000
Br 1.978 3.426 0.000
Br 1.965 5.702 3.194
Br 5.921 1.150 6.801
Br 3.956 4.553 6.801
```

Calculated values
Space group   P-3m1 (164)
Calculated density   3.37 g/cm³
ΔE_f (raw)   -1056 meV/atom
Total magnetization   0.0 μB per cell
Raw total energy   -47.42 eV/f.u.

***

7.
## Zr2ZnTe (GGA-PBE)

Data for a geometry-optimized Zr2ZnTe structure.

The structure in extended XYZ format:
```
4
Lattice="-1.783 2.397 4.972 1.783 -2.397 4.972 1.783 2.397 -4.972" Properties=species:S:1:pos:R:3 pbc="T T T"
Zr 0.000 0.000 0.000
Zr 0.000 2.397 2.406
Zn 0.000 0.000 4.874
Te 1.783 0.000 2.442
```

Calculated values
Space group   Imm2 (44)
Calculated density   7.34 g/cm³
Energy above the lowest structure with this stoichiometry   0.145 eV per atom
Density of states at the Fermi level   2.76 states/eV/f.u.
ΔE_f (raw)   -297 meV/atom
Total magnetization   0.0 μB per cell
Raw total energy   -22.70 eV/f.u.

***

8.
## Tl3CuHg2Cl9 (GGA-PBE)

Data for a geometry-optimized Tl3CuHg2Cl9 structure.

The structure in extended XYZ format:
```
15
Lattice="7.296 0.000 0.000 -3.648 6.318 0.000 0.000 0.000 9.001" Properties=species:S:1:pos:R:3 pbc="T T T"
Tl 0.000 0.000 0.000
Tl 0.000 4.212 5.923
Tl 3.648 2.106 3.078
Cu 0.000 0.000 4.501
Hg 0.000 4.212 1.625
Hg 3.648 2.106 7.377
Cl -1.824 3.159 0.000
Cl 0.000 2.002 3.107
Cl -1.914 5.317 3.107
Cl 1.734 1.001 5.894
Cl 3.648 0.000 0.000
Cl 1.824 3.159 0.000
Cl 1.914 5.317 3.107
Cl 5.561 1.001 5.894
Cl 3.648 4.316 5.894
```

Calculated values
Space group   P-3m1 (164)
Calculated density   5.59 g/cm³
Density of states at the Fermi level   4.62 states/eV/f.u.
ΔE_f (raw)   -692 meV/atom
Total magnetization   0.6 μB per cell
Raw total energy   -38.79 eV/f.u.